First-principles (PBE-GGA) data for CaZnW2 after structural relaxation, as listed in Alexandria via LeMat-Bulk.

Cell: 2.811 2.811 9.525 Å, 90.00 90.00 106.85°
Sites, in units of the cell vectors:
1 W 0.500 0.500 0.250
2 Zn 0.000 0.000 0.479
3 Ca 0.500 0.500 0.747
4 W 0.000 0.000 0.025

Values from the calculation:
**Spin magnetization**: 0.0000 μB/atom


First-principles (PBE-GGA) data for Pr2NdTl2 after structural relaxation, as listed in Alexandria via LeMat-Bulk.

Cell: 5.325 5.325 13.268 Å, 90.00 90.00 120.00°
Sites, in units of the cell vectors:
1 Pr 0.000 0.000 0.500
2 Pr 0.667 0.333 0.750
3 Nd 0.000 0.000 0.750
4 Pr 0.000 0.000 0.000
5 Tl 0.333 0.667 0.871
6 Pr 0.333 0.667 0.250
7 Tl 0.333 0.667 0.629
8 Tl 0.667 0.333 0.371
9 Nd 0.000 0.000 0.250
10 Tl 0.667 0.333 0.129

Values from the calculation:
**Spin magnetization**: 0.0748 μB/atom
**E above lowest polymorph**: 74 meV per atom


First-principles (PBE-GGA) data for LiNd4Tc after structural relaxation, as listed in Alexandria via LeMat-Bulk.

Cell: 6.410 7.946 7.946 Å, 110.04 100.77 100.77°
Sites, in units of the cell vectors:
1 Nd 0.447 0.725 0.068
2 Nd 0.882 0.638 0.801
3 Nd 0.118 0.362 0.199
4 Nd 0.053 0.932 0.275
5 Tc 0.250 0.000 0.000
6 Li 0.750 0.623 0.377
7 Tc 0.750 0.000 0.000
8 Nd 0.618 0.199 0.362
9 Li 0.250 0.377 0.623
10 Nd 0.947 0.068 0.725
11 Nd 0.382 0.801 0.638
12 Nd 0.553 0.275 0.932

Values from the calculation:
**Spin magnetization**: 0.0000 μB/atom


no.,energy relative to the elements (kJ per mole of atoms),total energy (eV for the cell shown)
1,45.5,-27.29
2,-7.2,-38.86
3,3.6,-62.25